DFT (PBE-GGA) results for a relaxed Pm6Ru2Au crystal.

Unit cell a=8.5970 b=8.5970 c=8.5970 alpha=112.10 beta=111.62 gamma=104.79
Sites, in units of the cell vectors:
1 Pm 0.0458 0.2400 0.8058
2 Pm 0.1808 0.2816 0.4625
3 Pm 0.1808 0.7184 0.8992
4 Pm 0.3290 0.0151 0.6861
5 Pm 0.3290 0.6429 0.3139
6 Pm 0.4341 0.2400 0.1942
7 Pm 0.5659 0.7600 0.8058
8 Pm 0.6710 0.3571 0.6861
9 Pm 0.6710 0.9849 0.3139
10 Pm 0.8192 0.2816 0.1008
11 Pm 0.8192 0.7184 0.5375
12 Pm 0.9542 0.7600 0.1942
13 Ru 0.1254 0.6254 0.5000
14 Ru 0.3240 0.0000 0.3240
15 Ru 0.6760 0.0000 0.6760
16 Ru 0.8746 0.3746 0.5000
17 Au 0.0000 0.0000 0.0000
18 Au 0.5000 0.5000 0.0000

Volume (Å³ per cell): 486.7
D(E_F) (states/eV/f.u.): 7.504
Calculated density (g cm⁻³): 8.66
Calculated formation energy (eV per atom): -0.338
E (eV/atom): -5.93